Record 1
Computed, not measured: a geometry-optimized Ca2ZrHg structure at the PBE level of DFT.

POSCAR file:
```
Ca2ZrHg
1.0
-2.898 -4.566 2.381
5.164 -1.734 -2.289
1.537 0.596 3.016
Ca Zr Hg
2 1 1
direct
0.500 0.500 0.000
0.000 0.000 0.000
0.000 0.500 0.500
0.500 0.000 0.500
```

## Properties
- Formation energy from the elements: 104 meV/atom
- DOS at the Fermi energy: 4.51 states/eV per cell
- VASP energy: -3.1097 eV/atom
- Total moment: 0.03 μB per atom
- Space group: Cmmm (65)

Record 2
Computed, not measured: a geometry-optimized Ca2ZrHg structure at the PBE level of DFT.

POSCAR file:
```
Ca2ZrHg
1.0
-3.819 -3.461 -3.075
1.721 -5.734 -0.430
-0.556 3.908 4.521
Ca Zr Hg
2 1 1
direct
0.500 0.500 0.000
0.000 0.000 0.000
0.750 0.250 0.500
0.250 0.750 0.500
```

## Properties
- Formation energy from the elements: 149 meV/atom
- DOS at the Fermi energy: 5.38 states/eV per cell
- VASP energy: -3.0638 eV/atom
- Total moment: 0.14 μB per atom
- Space group: I4/mmm (139)

Record 3
Computed, not measured: a geometry-optimized CaZrHg2 structure at the PBE level of DFT.

POSCAR file:
```
CaZrHg2
1.0
5.236 0.000 0.000
0.000 3.491 0.003
0.000 -0.005 5.236
Zr Hg Ca
1 2 1
direct
0.000 0.625 0.375
0.500 0.125 0.374
0.000 0.125 0.876
0.500 0.625 0.874
```

## Properties
- Formation energy from the elements: -266 meV/atom
- DOS at the Fermi energy: 3.27 states/eV per cell
- VASP energy: -3.0548 eV/atom
- Total moment: 0.20 μB per atom
- Space group: Pmm2 (25)

Record 4
Computed, not measured: a geometry-optimized Ca2ZrHg structure at the PBE level of DFT.

POSCAR file:
```
Ca2ZrHg
1.0
-0.254 2.626 -3.932
0.404 -2.886 -1.953
-6.213 -3.723 -2.085
Ca Zr Hg
2 1 1
direct
0.000 0.995 0.005
0.000 0.505 0.495
0.500 0.750 0.750
0.500 0.250 0.250
```

## Properties
- Formation energy from the elements: 68 meV/atom
- DOS at the Fermi energy: 4.11 states/eV per cell
- VASP energy: -3.1453 eV/atom
- Total moment: 0.00 μB per atom
- Space group: Pmmm (47)